This record from Alexandria via LeMat-Bulk describes Fe2CuNi at its PBEsol-relaxed geometry. The functional is meta-GGA SCAN.

Unit cell a=2.4606 b=4.0535 c=4.3855 alpha=90.00 beta=90.00 gamma=90.00
Closest atoms and distances in Å follow each position.
Fractional coordinates of all 4 atoms:
Fe  0.0000  0.0000  0.0000  4 Fe 2.46-2.48, 4 Ni 2.49, 4 Cu 2.50-2.53
Fe  0.0000  0.5000  0.3262  4 Fe 2.46-2.48, 4 Cu 2.50, 4 Ni 2.51-2.52
Cu  0.5000  0.0000  0.5038  2 Cu 2.46, 2 Ni 2.47, 8 Fe 2.50-2.53
Ni  0.5000  0.5000  0.8270  2 Ni 2.46, 2 Cu 2.47, 8 Fe 2.49-2.52

Calculated values
Energy (eV/cell): -67.6
Polymorph energy (0 for the lowest one) (meV/atom): 47
Magnetic moment (μB/cell): 6.2
SG: Pmm2
Energy of formation (eV per atom): -0.0011
Fermi-level density of states (states/eV/cell): 2.7